Crystalline K2MnBr2F2 at its relaxed geometry, computed with GGA+U.

The calculation puts the theoretical density at 3.33 g/cm³. The space group is I4/mmm. The value obtained for the total energy is -4.508 eV/atom.

Lattice parameters (Å, degrees): 4.4698 4.4698 8.8520 104.62 104.62 90.00
Fractional coordinates of all 7 atoms:
K: 0.3791 0.3791 0.7583
K: 0.6209 0.6209 0.2417
F: 0.0000 0.5000 0.0000
Br: 0.8378 0.8378 0.6756
Br: 0.1622 0.1622 0.3244
Mn: 0.0000 0.0000 0.0000
F: 0.5000 0.0000 0.0000